1.
First-principles (PBE) data for a relaxed structure of Ti4Co3Os, as listed in Alexandria via LeMat-Bulk.

The structure belongs to space group Pmmm (No. 47); the cell edges are 3.0311, 4.2689 and 8.4783 Å and the angles 90.00°, 90.00° and 90.00°. The inequivalent atoms are Ti at (0.0000, 0.0000, 0.0000), Ti at (0.0000, 0.0000, 0.5000), Ti at (0.0000, 0.5000, 0.2438), Co at (0.5000, 0.0000, 0.2479), Co at (0.5000, 0.5000, 0.0000) and Os at (0.5000, 0.5000, 0.5000).

Its formation energy is -0.46 eV/atom. As for the volume: 13.71 Å³ per atom. The size of the total moment is 2.51 Bohr magnetons per cell. Its density of states at the Fermi level is 6.2 states/eV per cell. As for the uncorrected energy: -8.475 eV/atom.

2.
First-principles (PBE) data for a relaxed structure of NdGa6Co6, as listed in Alexandria via LeMat-Bulk.

The structure belongs to space group Immm (No. 71); the cell edges are 5.0654, 8.2570 and 8.6751 Å and the angles 90.00°, 90.00° and 90.00°. The inequivalent atoms are Nd at (0.0000, 0.0000, 0.0000), Ga at (0.0000, 0.0000, 0.3461), Ga at (0.0000, 0.3434, 0.0000), Ga at (0.0000, 0.5000, 0.3106), Co at (0.0000, 0.2582, 0.5000) and Co at (0.2500, 0.2500, 0.2500).

Its formation energy is -0.30 eV/atom. As for the volume: 13.96 Å³ per atom. The size of the total moment is 6.14 Bohr magnetons per cell. Its density of states at the Fermi level is 35.5 states/eV per cell. As for the uncorrected energy: -5.342 eV/atom.

3.
First-principles (PBE) data for a relaxed structure of RbCeAlS4, as listed in Alexandria via LeMat-Bulk.

The structure belongs to space group P2_1/m (No. 11); the cell edges are 6.5833, 6.6447 and 9.1666 Å and the angles 90.00°, 108.20° and 90.00°. The inequivalent atoms are Rb at (0.2337, 0.2500, 0.4408), Ce at (0.2698, 0.2500, 0.9478), Al at (0.2699, 0.7500, 0.1645), S at (0.0510, 0.7500, 0.9222), S at (0.0685, 0.7500, 0.3191) and S at (0.4935, 0.5054, 0.8032).

For the uncorrected formation energy, the calculation gives -1.471 eV/atom. As for the volume: 27.21 Å³ per atom. The size of the total moment is 0.32 Bohr magnetons per cell. As for the uncorrected energy: -5.350 eV/atom.

4.
First-principles (PBE) data for a relaxed structure of Ta2V13, as listed in Alexandria via LeMat-Bulk.

The structure belongs to space group R-3m (No. 166, hexagonal axes); the cell edges are 6.6896, 6.6896 and 19.9237 Å and the angles 90.00°, 90.00° and 120.00°. The inequivalent atoms are Ta at (0.0000, 0.0000, 0.1350), V at (0.0000, 0.0000, 0.0000), V at (0.0683, 0.5341, 0.2890) and V at (0.0814, 0.5407, 0.4154).

Its formation energy is 0.76 eV/atom. As for the volume: 17.16 Å³ per atom. The size of the total moment is 0.00 Bohr magnetons per cell. Its density of states at the Fermi level is 59.1 states/eV per cell. As for the uncorrected energy: -8.727 eV/atom.

Question: Number 2 is which compound?
Answer: NdGa6Co6